Record 1
{"formula": "ZrBe4Co2", "functional": "PBE", "state": "optimized geometry", "lattice": [[-2.8124, 2.8124, 2.3311], [2.8124, -2.8124, 2.3311], [2.8124, 2.8124, -2.3311]], "species": ["Zr", "Be", "Be", "Be", "Be", "Co", "Co"], "fractional_positions": [[0.0000, 0.0000, 0.0000], [0.3147, 0.3147, 0.6293], [0.3147, 0.6853, 0.0000], [0.6853, 0.3147, 0.0000], [0.6853, 0.6853, 0.3707], [0.2500, 0.7500, 0.5000], [0.7500, 0.2500, 0.5000]]}

Record 2
{"formula": "NpAl4Ag", "functional": "PBE", "state": "optimized geometry", "lattice": [[4.6195, 0.0000, 0.0000], [-0.2549, 4.9888, 0.0000], [-2.1797, -2.4859, 9.4626]], "species": ["Np", "Np", "Al", "Al", "Al", "Al", "Al", "Al", "Al", "Al", "Ag", "Ag"], "fractional_positions": [[0.2299, 0.1561, 0.0001], [0.7701, 0.8439, 0.9999], [0.0801, 0.0123, 0.6656], [0.1586, 0.5669, 0.8077], [0.3509, 0.7592, 0.1924], [0.4147, 0.3472, 0.3347], [0.5853, 0.6528, 0.6653], [0.6491, 0.2408, 0.8076], [0.8414, 0.4331, 0.1923], [0.9199, 0.9877, 0.3344], [0.0000, 0.5000, 0.5000], [0.5000, 0.0000, 0.5000]], "relative_energy_mev_per_atom": 0}

Record 3
{"formula": "AlZn2Cd", "functional": "PBE", "state": "optimized geometry", "lattice": [[4.4874, -1.4509, 0.0000], [4.4874, 1.4509, 0.0000], [-1.3412, 0.0000, 5.4793]], "species": ["Al", "Zn", "Zn", "Cd"], "fractional_positions": [[0.0000, 0.0000, 0.0000], [0.4871, 0.4871, 0.4424], [0.7456, 0.7456, 0.2252], [0.2413, 0.2413, 0.7145]], "relative_energy_mev_per_atom": 20}

Record 4
{"formula": "Sr3LiHg6", "functional": "PBE", "state": "optimized geometry", "lattice": [[6.3206, 3.6492, 4.2573], [-6.3206, 3.6492, 4.2573], [0.0000, -7.2984, 4.2573]], "species": ["Sr", "Sr", "Sr", "Sr", "Sr", "Sr", "Li", "Li", "Hg", "Hg", "Hg", "Hg", "Hg", "Hg", "Hg", "Hg", "Hg", "Hg", "Hg", "Hg"], "fractional_positions": [[0.1675, 0.7500, 0.3325], [0.2500, 0.6675, 0.8325], [0.3325, 0.1675, 0.7500], [0.6675, 0.8325, 0.2500], [0.7500, 0.3325, 0.1675], [0.8325, 0.2500, 0.6675], [0.0000, 0.0000, 0.0000], [0.5000, 0.5000, 0.5000], [0.0147, 0.0921, 0.3317], [0.0921, 0.3317, 0.0147], [0.1683, 0.4079, 0.4853], [0.3317, 0.0147, 0.0921], [0.4079, 0.4853, 0.1683], [0.4853, 0.1683, 0.4079], [0.5147, 0.8317, 0.5921], [0.5921, 0.5147, 0.8317], [0.6683, 0.9853, 0.9079], [0.8317, 0.5921, 0.5147], [0.9079, 0.6683, 0.9853], [0.9853, 0.9079, 0.6683]]}

Record 5
{"formula": "SrZr3Tl", "functional": "PBE", "state": "optimized geometry", "lattice": [[5.2076, 0.0000, 0.0000], [0.0000, 5.2076, 0.0000], [0.0000, 0.0000, 5.2076]], "species": ["Sr", "Zr", "Zr", "Zr", "Tl"], "fractional_positions": [[0.0000, 0.0000, 0.0000], [0.0000, 0.0000, 0.5000], [0.0000, 0.5000, 0.0000], [0.5000, 0.0000, 0.0000], [0.5000, 0.5000, 0.5000]], "relative_energy_mev_per_atom": 778}

Calculated values (eV/atom) of calculated total energy for the records, taken in order: -5.64, -5.11, -1.72, -1.30, -4.22.